Material: Th6BiSb3
Method: DFT, PBE-GGA
State: relaxed

CIF file:
```
data_Th6BiSb3
_chemical_formula_sum 'Th24 Bi4 Sb12'
_cell_length_a 10.495
_cell_length_b 15.523
_cell_length_c 8.072
_cell_angle_alpha 90.00
_cell_angle_beta 90.00
_cell_angle_gamma 90.00
_space_group_name_H-M_alt 'C m c 21'
_space_group_IT_number 36
_space_group_name_Hall 'C 2c -2'
loop_
_atom_site_label
_atom_site_fract_x
_atom_site_fract_y
_atom_site_fract_z
Th1 0.000 0.019 0.000
Th2 0.000 0.274 0.140
Th3 0.203 0.447 0.133
Th4 0.214 0.288 0.482
Bi1 0.000 0.182 0.740
Sb1 0.000 0.435 0.437
Sb2 0.174 0.112 0.289
```

Properties
VASP energy = -6.543 eV/atom
magnetic moment = 0.0 μB per formula unit
volume = 32.9 A^3/atom
Fermi-level density of states = 39.24 states/eV per cell
formation energy without anion corrections = -466 meV per atom

***

Material: Th10Bi3Sb3
Method: DFT, PBE-GGA
State: relaxed

CIF file:
```
data_Th10Bi3Sb3
_chemical_formula_sum 'Th10 Bi3 Sb3'
_cell_length_a 9.4675
_cell_length_b 9.4675
_cell_length_c 6.4691
_cell_angle_alpha 90.00
_cell_angle_beta 90.00
_cell_angle_gamma 120.00
_space_group_name_H-M_alt 'P -6 2 m'
_space_group_IT_number 189
_space_group_name_Hall 'P -6 -2'
loop_
_atom_site_label
_atom_site_fract_x
_atom_site_fract_y
_atom_site_fract_z
Th1 0.0000 0.2548 0.0000
Th2 0.0000 0.7434 0.5000
Th3 0.3333 0.6667 0.2532
Bi1 0.0000 0.6116 0.0000
Sb1 0.0000 0.3846 0.5000
```

Properties
VASP energy = -6.676 eV/atom
magnetic moment = 0.0 μB per formula unit
volume = 31.4 A^3/atom
Fermi-level density of states = 20.74 states/eV per cell
formation energy without anion corrections = -538 meV per atom